Compound: CrCdNO2
Source: the Alexandria database
Functional: PBE with a Hubbard U
Structure: relaxed

**DOS(E_F)**: 2.8 states/eV/f.u.
**Crystal system**: tetragonal
**VASP energy**: -5.678 eV per atom
**Theoretical density**: 6.07 Mg/m³
**Space group**: P4/mmm, No. 123

Cell: 3.933 3.933 3.722 Å, 90.00 90.00 90.00°
Fractional coordinates of all 5 atoms:
O1 0.000 0.500 0.000
O2 0.500 0.000 0.000
N1 0.000 0.000 0.500
Cd1 0.500 0.500 0.500
Cr1 0.000 0.000 0.000